This record from Alexandria describes an optimized crystal structure of Be2NbPtN. The functional is PBE-GGA.

Lattice parameters (Å, degrees): 3.7399 3.7399 4.1975 90.00 90.00 90.00
Positions (direct):
Be 0.0000 0.5000 0.0000
Be 0.5000 0.0000 0.0000
Nb 0.0000 0.0000 0.5000
Pt 0.5000 0.5000 0.5000
N 0.0000 0.0000 0.0000

Calculated values
- magnetization (μB/f.u.) = 0.0
- formation energy without anion corrections (eV per atom) = -0.376
- calculated volume (Å³ per atom) = 11.74
- D(E_F) (states/eV per cell) = 2.4

This record from Alexandria describes an optimized crystal structure of BeNbReN2. The functional is PBE-GGA.

Lattice parameters (Å, degrees): 3.9378 3.9378 5.2418 90.00 90.00 90.00
Positions (direct):
Be 0.0000 0.0000 0.0000
Nb 0.5000 0.5000 0.5000
Re 0.5000 0.5000 0.0000
N 0.0000 0.5000 0.5000
N 0.5000 0.0000 0.5000

Calculated values
- magnetization (μB/f.u.) = 0.0
- formation energy without anion corrections (eV per atom) = 1.606
- calculated volume (Å³ per atom) = 16.26
- D(E_F) (states/eV per cell) = 5.8

This record from Alexandria describes an optimized crystal structure of BeNb2RhN. The functional is PBE-GGA.

Lattice parameters (Å, degrees): 4.4353 4.4353 3.2813 90.00 90.00 90.00
Positions (direct):
Be 0.0000 0.0000 0.0000
Nb 0.0000 0.5000 0.5000
Nb 0.5000 0.0000 0.5000
Rh 0.5000 0.5000 0.0000
N 0.0000 0.0000 0.5000

Calculated values
- magnetization (μB/f.u.) = 0.0
- formation energy without anion corrections (eV per atom) = -0.497
- calculated volume (Å³ per atom) = 12.91
- D(E_F) (states/eV per cell) = 4.5

This record from Alexandria describes an optimized crystal structure of BeNb2RuN. The functional is PBE-GGA.

Lattice parameters (Å, degrees): 4.3832 4.3832 3.3429 90.00 90.00 90.00
Positions (direct):
Be 0.0000 0.0000 0.0000
Nb 0.0000 0.5000 0.5000
Nb 0.5000 0.0000 0.5000
Ru 0.5000 0.5000 0.0000
N 0.0000 0.0000 0.5000

Calculated values
- magnetization (μB/f.u.) = 0.0
- formation energy without anion corrections (eV per atom) = -0.470
- calculated volume (Å³ per atom) = 12.84
- D(E_F) (states/eV per cell) = 3.2

This record from Alexandria describes an optimized crystal structure of Sc2BeNbN. The functional is PBE-GGA.

Lattice parameters (Å, degrees): 4.6135 4.6135 4.2966 90.00 90.00 90.00
Positions (direct):
Sc 0.0000 0.5000 0.0000
Sc 0.5000 0.0000 0.0000
Be 0.0000 0.0000 0.0000
Nb 0.0000 0.0000 0.5000
N 0.5000 0.5000 0.5000

Calculated values
- magnetization (μB/f.u.) = 1.4
- formation energy without anion corrections (eV per atom) = 1.050
- calculated volume (Å³ per atom) = 18.29
- D(E_F) (states/eV per cell) = 2.9

This record from Alexandria describes an optimized crystal structure of ScBeNb2N. The functional is PBE-GGA.

Lattice parameters (Å, degrees): 4.8758 4.8758 3.9239 90.00 90.00 90.00
Positions (direct):
Sc 0.0000 0.0000 0.0000
Be 0.5000 0.5000 0.5000
Nb 0.0000 0.5000 0.0000
Nb 0.5000 0.0000 0.0000
N 0.0000 0.0000 0.5000

Calculated values
- magnetization (μB/f.u.) = 0.0
- formation energy without anion corrections (eV per atom) = 1.755
- calculated volume (Å³ per atom) = 18.66
- D(E_F) (states/eV per cell) = 9.3

This record from Alexandria describes an optimized crystal structure of BeNbSe2N. The functional is PBE-GGA.

Lattice parameters (Å, degrees): 5.1673 5.1673 3.8637 90.00 90.00 90.00
Positions (direct):
Be 0.0000 0.0000 0.0000
Nb 0.5000 0.5000 0.5000
Se 0.0000 0.5000 0.5000
Se 0.5000 0.0000 0.5000
N 0.5000 0.5000 0.0000

Calculated values
- magnetization (μB/f.u.) = 0.0
- formation energy without anion corrections (eV per atom) = 0.433
- calculated volume (Å³ per atom) = 20.63
- D(E_F) (states/eV per cell) = 2.9
- relative energy among the computed polymorphs (eV/f.u.) = 0.60

This record from Alexandria describes an optimized crystal structure of BeNbSe2N. The functional is PBE-GGA.

Lattice parameters (Å, degrees): 4.8390 4.8390 3.1549 90.00 90.00 90.00
Positions (direct):
Be 0.0000 0.0000 0.0000
Nb 0.5000 0.5000 0.5000
Se 0.0000 0.5000 0.0000
Se 0.5000 0.0000 0.0000
N 0.0000 0.0000 0.5000

Calculated values
- magnetization (μB/f.u.) = 0.0
- formation energy without anion corrections (eV per atom) = 0.312
- calculated volume (Å³ per atom) = 14.78
- D(E_F) (states/eV per cell) = 2.9
- relative energy among the computed polymorphs (eV/f.u.) = 0.00

This record from Alexandria describes an optimized crystal structure of SrBeNbN3. The functional is PBE-GGA.

Lattice parameters (Å, degrees): 7.0491 3.1806 7.1075 90.00 107.69 90.00
Positions (direct):
Sr 0.2011 0.2500 0.2349
Sr 0.7989 0.7500 0.7651
Be 0.0784 0.2500 0.6019
Be 0.9216 0.7500 0.3981
Nb 0.3299 0.7500 0.8357
Nb 0.6701 0.2500 0.1643
N 0.1345 0.2500 0.8539
N 0.1682 0.7500 0.5371
N 0.4618 0.7500 0.1579
N 0.5382 0.2500 0.8421
N 0.8318 0.2500 0.4629
N 0.8655 0.7500 0.1461

Calculated values
- magnetization (μB/f.u.) = 0.0
- formation energy without anion corrections (eV per atom) = -0.980
- calculated volume (Å³ per atom) = 12.65

This record from Alexandria describes an optimized crystal structure of BeNbZn2N4. The functional is PBE-GGA.

Lattice parameters (Å, degrees): 6.2364 5.6732 5.1826 90.00 90.00 90.00
Positions (direct):
Be 0.0000 0.1746 0.0000
Be 0.5000 0.8254 0.5000
Nb 0.0000 0.8494 0.4966
Nb 0.5000 0.1506 0.9966
Zn 0.2483 0.6622 0.0009
Zn 0.2517 0.3378 0.5009
Zn 0.7483 0.3378 0.5009
Zn 0.7517 0.6622 0.0009
N 0.0000 0.1657 0.3397
N 0.0000 0.8788 0.8782
N 0.2366 0.3193 0.8977
N 0.2634 0.6807 0.3977
N 0.5000 0.1212 0.3782
N 0.5000 0.8343 0.8397
N 0.7366 0.6807 0.3977
N 0.7634 0.3193 0.8977

Calculated values
- magnetization (μB/f.u.) = 0.6
- formation energy without anion corrections (eV per atom) = -0.322
- calculated volume (Å³ per atom) = 11.46
- D(E_F) (states/eV per cell) = 10.1

This record from Alexandria describes an optimized crystal structure of NdBeN. The functional is PBE-GGA.

Lattice parameters (Å, degrees): 3.6547 13.4991 3.7304 90.00 90.00 90.00
Positions (direct):
Nd 0.0000 0.1552 0.2500
Nd 0.0000 0.8448 0.7500
Nd 0.5000 0.3448 0.7500
Nd 0.5000 0.6552 0.2500
Be 0.0000 0.4516 0.2500
Be 0.0000 0.5484 0.7500
Be 0.5000 0.0484 0.7500
Be 0.5000 0.9516 0.2500
N 0.0000 0.3349 0.2500
N 0.0000 0.6651 0.7500
N 0.5000 0.1651 0.7500
N 0.5000 0.8349 0.2500

Calculated values
- magnetization (μB/f.u.) = 0.0
- formation energy without anion corrections (eV per atom) = -0.963
- calculated volume (Å³ per atom) = 15.34
- D(E_F) (states/eV per cell) = 3.9
- relative energy among the computed polymorphs (eV/f.u.) = 0.00

This record from Alexandria describes an optimized crystal structure of Nd3BeN. The functional is PBE-GGA.

Lattice parameters (Å, degrees): 4.9579 4.9579 4.9579 90.00 90.00 90.00
Positions (direct):
Nd 0.0000 0.0000 0.5000
Nd 0.0000 0.5000 0.0000
Nd 0.5000 0.0000 0.0000
Be 0.5000 0.5000 0.5000
N 0.0000 0.0000 0.0000

Calculated values
- magnetization (μB/f.u.) = 0.0
- formation energy without anion corrections (eV per atom) = -0.359
- calculated volume (Å³ per atom) = 24.37
- D(E_F) (states/eV per cell) = 5.0

Please write out number 6 again, unchanged.
This record from Alexandria describes an optimized crystal structure of ScBeNb2N. The functional is PBE-GGA.

Lattice parameters (Å, degrees): 4.8758 4.8758 3.9239 90.00 90.00 90.00
Positions (direct):
Sc 0.0000 0.0000 0.0000
Be 0.5000 0.5000 0.5000
Nb 0.0000 0.5000 0.0000
Nb 0.5000 0.0000 0.0000
N 0.0000 0.0000 0.5000

Calculated values
- magnetization (μB/f.u.) = 0.0
- formation energy without anion corrections (eV per atom) = 1.755
- calculated volume (Å³ per atom) = 18.66
- D(E_F) (states/eV per cell) = 9.3

The highest formation energy without anion corrections belongs to which entry? ScBeNb2N